# GeTe2H, optimized geometry, DFT GGA-PBE
data_GeTe2H
_chemical_formula_sum 'Ge4 Te8 H4'
_space_group_name_H-M_alt 'I -4 2 d'
_space_group_IT_number 122
_space_group_name_Hall 'I -4 2bw'
_cell_length_a 5.936
_cell_length_b 5.936
_cell_length_c 11.563
_cell_angle_alpha 90.00
_cell_angle_beta 90.00
_cell_angle_gamma 90.00
loop_
_atom_site_label
_atom_site_type_symbol
_atom_site_fract_x
_atom_site_fract_y
_atom_site_fract_z
Ge1 Ge 0.000 0.000 0.000
Te1 Te 0.186 0.250 0.625
H1 H 0.000 0.000 0.500
# Distance to the lowest polymorph of the same formula   0.287 eV/atom

=====

# GeTe2H, optimized geometry, DFT GGA-PBE
data_GeTe2H
_chemical_formula_sum 'Ge2 Te4 H2'
_space_group_name_H-M_alt 'P 1'
_space_group_IT_number 1
_cell_length_a 3.890
_cell_length_b 7.366
_cell_length_c 7.403
_cell_angle_alpha 93.45
_cell_angle_beta 90.21
_cell_angle_gamma 105.15
loop_
_space_group_symop_operation_xyz
'x,y,z'
loop_
_atom_site_label
_atom_site_type_symbol
_atom_site_fract_x
_atom_site_fract_y
_atom_site_fract_z
Ge1 Ge 0.000 0.000 0.000
Ge2 Ge 0.468 0.999 0.500
Te1 Te 0.098 0.282 0.390
Te2 Te 0.391 0.781 0.186
Te3 Te 0.645 0.282 0.890
Te4 Te 0.860 0.781 0.686
H1 H 0.205 0.370 0.606
H2 H 0.635 0.372 0.106
# Distance to the lowest polymorph of the same formula   0.000 eV/atom

=====

# GeTe3H, optimized geometry, DFT GGA-PBE
data_GeTe3H
_chemical_formula_sum 'Ge1 Te3 H1'
_space_group_name_H-M_alt 'P m -3 m'
_space_group_IT_number 221
_space_group_name_Hall '-P 4 2 3'
_cell_length_a 5.480
_cell_length_b 5.480
_cell_length_c 5.480
_cell_angle_alpha 90.00
_cell_angle_beta 90.00
_cell_angle_gamma 90.00
loop_
_atom_site_label
_atom_site_type_symbol
_atom_site_fract_x
_atom_site_fract_y
_atom_site_fract_z
Ge1 Ge 0.000 0.000 0.000
Te1 Te 0.000 0.000 0.500
H1 H 0.500 0.500 0.500
# Distance to the lowest polymorph of the same formula   0.276 eV/atom

=====

# GeTe3H, optimized geometry, DFT GGA-PBE
data_GeTe3H
_chemical_formula_sum 'Ge1 Te3 H1'
_space_group_name_H-M_alt 'P m -3 m'
_space_group_IT_number 221
_space_group_name_Hall '-P 4 2 3'
_cell_length_a 4.789
_cell_length_b 4.789
_cell_length_c 4.789
_cell_angle_alpha 90.00
_cell_angle_beta 90.00
_cell_angle_gamma 90.00
loop_
_atom_site_label
_atom_site_type_symbol
_atom_site_fract_x
_atom_site_fract_y
_atom_site_fract_z
Ge1 Ge 0.000 0.000 0.000
Te1 Te 0.000 0.500 0.500
H1 H 0.500 0.500 0.500
# Distance to the lowest polymorph of the same formula   0.000 eV/atom

=====

# GeTeH, optimized geometry, DFT GGA-PBE
data_GeTeH
_chemical_formula_sum 'Ge1 Te1 H1'
_space_group_name_H-M_alt 'P 3 m 1'
_space_group_IT_number 156
_cell_length_a 3.5454
_cell_length_b 3.5454
_cell_length_c 5.4314
_cell_angle_alpha 90.00
_cell_angle_beta 90.00
_cell_angle_gamma 120.00
loop_
_space_group_symop_operation_xyz
'x,y,z'
'-y,x-y,z'
'-x+y,-x,z'
'-y,-x,z'
'-x+y,y,z'
'x,x-y,z'
loop_
_atom_site_label
_atom_site_type_symbol
_atom_site_fract_x
_atom_site_fract_y
_atom_site_fract_z
Ge1 Ge 0.0000 0.0000 0.0000
Te1 Te 0.6667 0.3333 0.6245
H1 H 0.3333 0.6667 0.0836
# Distance to the lowest polymorph of the same formula   0.386 eV/atom

=====

# GeTe2H, optimized geometry, DFT GGA-PBE
data_GeTe2H
_chemical_formula_sum 'Ge3 Te6 H3'
_space_group_name_H-M_alt 'R -3 m'
_space_group_IT_number 166
_space_group_name_Hall '-R 3 2"'
_cell_length_a 3.2307
_cell_length_b 3.2307
_cell_length_c 27.7825
_cell_angle_alpha 90.00
_cell_angle_beta 90.00
_cell_angle_gamma 120.00
loop_
_atom_site_label
_atom_site_type_symbol
_atom_site_fract_x
_atom_site_fract_y
_atom_site_fract_z
Ge1 Ge 0.0000 0.0000 0.0000
Te1 Te 0.0000 0.0000 0.1061
H1 H 0.0000 0.0000 0.5000
# Distance to the lowest polymorph of the same formula   0.512 eV/atom

=====

Material: Ge2Te3H4
Method: DFT, GGA-PBE
State: optimized geometry

Structure (CIF):
```
data_Ge2Te3H4
_chemical_formula_sum 'Ge8 Te12 H16'
_space_group_name_H-M_alt 'C 1 2/c 1'
_space_group_IT_number 15
_cell_length_a 17.872
_cell_length_b 7.421
_cell_length_c 6.427
_cell_angle_alpha 90.00
_cell_angle_beta 105.26
_cell_angle_gamma 90.00
loop_
_space_group_symop_operation_xyz
'x,y,z'
'-x,-y,-z'
'-x,y,-z+1/2'
'x,-y,z+1/2'
'x+1/2,y+1/2,z'
'-x+1/2,-y+1/2,-z'
'-x+1/2,y+1/2,-z+1/2'
'x+1/2,-y+1/2,z+1/2'
loop_
_atom_site_label
_atom_site_type_symbol
_atom_site_fract_x
_atom_site_fract_y
_atom_site_fract_z
Ge1 Ge 0.178 0.091 0.217
Te1 Te 0.000 0.114 0.750
Te2 Te 0.093 0.367 0.030
H1 H 0.173 0.030 0.489
H2 H 0.239 0.317 0.723
```

=====

# GeTe2H, optimized geometry, DFT GGA-PBE
data_GeTe2H
_chemical_formula_sum 'Ge4 Te8 H4'
_space_group_name_H-M_alt 'F m -3 m'
_space_group_IT_number 225
_space_group_name_Hall '-F 4 2 3'
_cell_length_a 6.958
_cell_length_b 6.958
_cell_length_c 6.958
_cell_angle_alpha 90.00
_cell_angle_beta 90.00
_cell_angle_gamma 90.00
loop_
_atom_site_label
_atom_site_type_symbol
_atom_site_fract_x
_atom_site_fract_y
_atom_site_fract_z
Ge1 Ge 0.000 0.000 0.000
Te1 Te 0.250 0.250 0.250
H1 H 0.000 0.000 0.500
# Distance to the lowest polymorph of the same formula   0.476 eV/atom

=====

# GeTeH, optimized geometry, DFT GGA-PBE
data_GeTeH
_chemical_formula_sum 'Ge2 Te2 H2'
_space_group_name_H-M_alt 'C 1 m 1'
_space_group_IT_number 8
_cell_length_a 5.390
_cell_length_b 5.417
_cell_length_c 4.857
_cell_angle_alpha 90.00
_cell_angle_beta 90.68
_cell_angle_gamma 90.00
loop_
_space_group_symop_operation_xyz
'x,y,z'
'x,-y,z'
'x+1/2,y+1/2,z'
'x+1/2,-y+1/2,z'
loop_
_atom_site_label
_atom_site_type_symbol
_atom_site_fract_x
_atom_site_fract_y
_atom_site_fract_z
Ge1 Ge 0.000 0.000 0.000
Te1 Te 0.002 0.500 0.171
H1 H 0.495 0.500 0.676
# Distance to the lowest polymorph of the same formula   0.160 eV/atom

=====

Material: Ge4Te3H2
Method: DFT, GGA-PBE
State: optimized geometry

Structure (CIF):
```
data_Ge4Te3H2
_chemical_formula_sum 'Ge16 Te12 H8'
_space_group_name_H-M_alt 'C 1 2/c 1'
_space_group_IT_number 15
_cell_length_a 12.607
_cell_length_b 9.601
_cell_length_c 7.523
_cell_angle_alpha 90.00
_cell_angle_beta 102.69
_cell_angle_gamma 90.00
loop_
_space_group_symop_operation_xyz
'x,y,z'
'-x,-y,-z'
'-x,y,-z+1/2'
'x,-y,z+1/2'
'x+1/2,y+1/2,z'
'-x+1/2,-y+1/2,-z'
'-x+1/2,y+1/2,-z+1/2'
'x+1/2,-y+1/2,z+1/2'
loop_
_atom_site_label
_atom_site_type_symbol
_atom_site_fract_x
_atom_site_fract_y
_atom_site_fract_z
Ge1 Ge 0.138 0.202 0.481
Ge2 Ge 0.162 0.405 0.056
Te1 Te 0.000 0.476 0.750
Te2 Te 0.145 0.126 0.130
H1 H 0.222 0.351 0.449
```

=====

Material: TiGeTeH2
Method: DFT, GGA-PBE
State: optimized geometry

Structure (CIF):
```
data_TiGeTeH2
_chemical_formula_sum 'Ti1 Ge1 Te1 H2'
_space_group_name_H-M_alt 'P 4/m m m'
_space_group_IT_number 123
_space_group_name_Hall '-P 4 2'
_cell_length_a 3.947
_cell_length_b 3.947
_cell_length_c 5.462
_cell_angle_alpha 90.00
_cell_angle_beta 90.00
_cell_angle_gamma 90.00
loop_
_atom_site_label
_atom_site_type_symbol
_atom_site_fract_x
_atom_site_fract_y
_atom_site_fract_z
Ti1 Ti 0.000 0.000 0.000
Ge1 Ge 0.500 0.500 0.500
Te1 Te 0.000 0.000 0.500
H1 H 0.000 0.500 0.000
```

=====

Material: Y8Ge3Te4H
Method: DFT, GGA-PBE
State: optimized geometry

Structure (CIF):
```
data_Y8Ge3Te4H
_chemical_formula_sum 'Y24 Ge9 Te12 H3'
_space_group_name_H-M_alt 'R -3 m'
_space_group_IT_number 166
_space_group_name_Hall '-R 3 2"'
_cell_length_a 8.3961
_cell_length_b 8.3961
_cell_length_c 21.1146
_cell_angle_alpha 90.00
_cell_angle_beta 90.00
_cell_angle_gamma 120.00
loop_
_atom_site_label
_atom_site_type_symbol
_atom_site_fract_x
_atom_site_fract_y
_atom_site_fract_z
Y1 Y 0.0000 0.0000 0.2401
Y2 Y 0.0062 0.5031 0.7592
Ge1 Ge 0.0000 0.5000 0.5000
Te1 Te 0.0000 0.0000 0.0000
Te2 Te 0.0000 0.5000 0.0000
H1 H 0.0000 0.0000 0.5000
```

=====

Material: ZnGe2TeH
Method: DFT, GGA-PBE
State: optimized geometry

Structure (CIF):
```
data_ZnGe2TeH
_chemical_formula_sum 'Zn1 Ge2 Te1 H1'
_space_group_name_H-M_alt 'P 4/m m m'
_space_group_IT_number 123
_space_group_name_Hall '-P 4 2'
_cell_length_a 5.580
_cell_length_b 5.580
_cell_length_c 3.614
_cell_angle_alpha 90.00
_cell_angle_beta 90.00
_cell_angle_gamma 90.00
loop_
_atom_site_label
_atom_site_type_symbol
_atom_site_fract_x
_atom_site_fract_y
_atom_site_fract_z
Zn1 Zn 0.000 0.000 0.000
Ge1 Ge 0.000 0.500 0.500
Te1 Te 0.500 0.500 0.500
H1 H 0.500 0.500 0.000
```

=====

# ThGeH, optimized geometry, DFT GGA-PBE
data_ThGeH
_chemical_formula_sum 'Th4 Ge4 H4'
_space_group_name_H-M_alt 'C m c m'
_space_group_IT_number 63
_space_group_name_Hall '-C 2c 2'
_cell_length_a 4.185
_cell_length_b 11.430
_cell_length_c 4.335
_cell_angle_alpha 90.00
_cell_angle_beta 90.00
_cell_angle_gamma 90.00
loop_
_atom_site_label
_atom_site_type_symbol
_atom_site_fract_x
_atom_site_fract_y
_atom_site_fract_z
Th1 Th 0.000 0.147 0.250
Ge1 Ge 0.000 0.433 0.250
H1 H 0.000 0.250 0.750
# Distance to the lowest polymorph of the same formula   0.000 eV/atom

=====

Material: ThGeH2
Method: DFT, GGA-PBE
State: optimized geometry

Structure (CIF):
```
data_ThGeH2
_chemical_formula_sum 'Th2 Ge2 H4'
_space_group_name_H-M_alt 'P 1 21/m 1'
_space_group_IT_number 11
_cell_length_a 3.921
_cell_length_b 5.360
_cell_length_c 6.060
_cell_angle_alpha 90.00
_cell_angle_beta 108.76
_cell_angle_gamma 90.00
loop_
_space_group_symop_operation_xyz
'x,y,z'
'-x,-y,-z'
'-x,y+1/2,-z'
'x,-y+1/2,z'
loop_
_atom_site_label
_atom_site_type_symbol
_atom_site_fract_x
_atom_site_fract_y
_atom_site_fract_z
Th1 Th 0.164 0.250 0.326
Ge1 Ge 0.453 0.250 0.900
H1 H 0.276 0.575 0.554
```

=====

# ThGeH, optimized geometry, DFT GGA-PBE
data_ThGeH
_chemical_formula_sum 'Th1 Ge1 H1'
_space_group_name_H-M_alt 'P 3 m 1'
_space_group_IT_number 156
_cell_length_a 3.9634
_cell_length_b 3.9634
_cell_length_c 4.3010
_cell_angle_alpha 90.00
_cell_angle_beta 90.00
_cell_angle_gamma 120.00
loop_
_space_group_symop_operation_xyz
'x,y,z'
'-y,x-y,z'
'-x+y,-x,z'
'-y,-x,z'
'-x+y,y,z'
'x,x-y,z'
loop_
_atom_site_label
_atom_site_type_symbol
_atom_site_fract_x
_atom_site_fract_y
_atom_site_fract_z
Th1 Th 0.0000 0.0000 0.0000
Ge1 Ge 0.6667 0.3333 0.5000
H1 H 0.3333 0.6667 0.9987
# Distance to the lowest polymorph of the same formula   0.164 eV/atom

=====

# ThGeH, optimized geometry, DFT GGA-PBE
data_ThGeH
_chemical_formula_sum 'Th4 Ge4 H4'
_space_group_name_H-M_alt 'C m c m'
_space_group_IT_number 63
_space_group_name_Hall '-C 2c 2'
_cell_length_a 4.430
_cell_length_b 11.694
_cell_length_c 4.368
_cell_angle_alpha 90.00
_cell_angle_beta 90.00
_cell_angle_gamma 90.00
loop_
_atom_site_label
_atom_site_type_symbol
_atom_site_fract_x
_atom_site_fract_y
_atom_site_fract_z
Th1 Th 0.000 0.148 0.250
Ge1 Ge 0.000 0.411 0.250
H1 H 0.000 0.000 0.000
# Distance to the lowest polymorph of the same formula   0.353 eV/atom

=====

Material: Th2GeH
Method: DFT, GGA-PBE
State: optimized geometry

Structure (CIF):
```
data_Th2GeH
_chemical_formula_sum 'Th6 Ge3 H3'
_space_group_name_H-M_alt 'R -3 m'
_space_group_IT_number 166
_space_group_name_Hall '-R 3 2"'
_cell_length_a 4.0542
_cell_length_b 4.0542
_cell_length_c 23.5969
_cell_angle_alpha 90.00
_cell_angle_beta 90.00
_cell_angle_gamma 120.00
loop_
_atom_site_label
_atom_site_type_symbol
_atom_site_fract_x
_atom_site_fract_y
_atom_site_fract_z
Th1 Th 0.0000 0.0000 0.0907
Ge1 Ge 0.0000 0.0000 0.5000
H1 H 0.0000 0.0000 0.0000
```

=====

# Ti3GeH, optimized geometry, DFT GGA-PBE
data_Ti3GeH
_chemical_formula_sum 'Ti12 Ge4 H4'
_space_group_name_H-M_alt 'C 1 2/m 1'
_space_group_IT_number 12
_cell_length_a 12.574
_cell_length_b 3.269
_cell_length_c 7.163
_cell_angle_alpha 90.00
_cell_angle_beta 97.31
_cell_angle_gamma 90.00
loop_
_space_group_symop_operation_xyz
'x,y,z'
'-x,-y,-z'
'-x,y,-z'
'x,-y,z'
'x+1/2,y+1/2,z'
'-x+1/2,-y+1/2,-z'
'-x+1/2,y+1/2,-z'
'x+1/2,-y+1/2,z'
loop_
_atom_site_label
_atom_site_type_symbol
_atom_site_fract_x
_atom_site_fract_y
_atom_site_fract_z
Ti1 Ti 0.032 0.000 0.309
Ti2 Ti 0.154 0.000 0.963
Ti3 Ti 0.163 0.500 0.612
Ge1 Ge 0.182 0.500 0.248
H1 H 0.113 0.000 0.702
# Distance to the lowest polymorph of the same formula   0.133 eV/atom

=====

# TiGe2H, optimized geometry, DFT GGA-PBE
data_TiGe2H
_chemical_formula_sum 'Ti4 Ge8 H4'
_space_group_name_H-M_alt 'I -4 2 d'
_space_group_IT_number 122
_space_group_name_Hall 'I -4 2bw'
_cell_length_a 4.781
_cell_length_b 4.781
_cell_length_c 11.256
_cell_angle_alpha 90.00
_cell_angle_beta 90.00
_cell_angle_gamma 90.00
loop_
_atom_site_label
_atom_site_type_symbol
_atom_site_fract_x
_atom_site_fract_y
_atom_site_fract_z
Ti1 Ti 0.000 0.000 0.000
Ge1 Ge 0.096 0.250 0.625
H1 H 0.000 0.000 0.500
# Distance to the lowest polymorph of the same formula   0.000 eV/atom

=====

Material: Ti8Ge3H2
Method: DFT, GGA-PBE
State: optimized geometry

Structure (CIF):
```
data_Ti8Ge3H2
_chemical_formula_sum 'Ti24 Ge9 H6'
_space_group_name_H-M_alt 'R -3 m'
_space_group_IT_number 166
_space_group_name_Hall '-R 3 2"'
_cell_length_a 5.4254
_cell_length_b 5.4254
_cell_length_c 22.3110
_cell_angle_alpha 90.00
_cell_angle_beta 90.00
_cell_angle_gamma 120.00
loop_
_atom_site_label
_atom_site_type_symbol
_atom_site_fract_x
_atom_site_fract_y
_atom_site_fract_z
Ti1 Ti 0.0000 0.0000 0.1838
Ti2 Ti 0.0008 0.5004 0.7298
Ge1 Ge 0.0000 0.0000 0.2986
Ge2 Ge 0.0000 0.0000 0.5000
H1 H 0.0000 0.0000 0.1046
```

=====

# Ti2GeH, optimized geometry, DFT GGA-PBE
data_Ti2GeH
_chemical_formula_sum 'Ti8 Ge4 H4'
_space_group_name_H-M_alt 'I -4 2 d'
_space_group_IT_number 122
_space_group_name_Hall 'I -4 2bw'
_cell_length_a 5.998
_cell_length_b 5.998
_cell_length_c 5.810
_cell_angle_alpha 90.00
_cell_angle_beta 90.00
_cell_angle_gamma 90.00
loop_
_atom_site_label
_atom_site_type_symbol
_atom_site_fract_x
_atom_site_fract_y
_atom_site_fract_z
Ti1 Ti 0.166 0.250 0.125
Ge1 Ge 0.000 0.000 0.500
H1 H 0.000 0.000 0.000
# Distance to the lowest polymorph of the same formula   0.124 eV/atom

=====

# Ti2GeH, optimized geometry, DFT GGA-PBE
data_Ti2GeH
_chemical_formula_sum 'Ti8 Ge4 H4'
_space_group_name_H-M_alt 'P n m a'
_space_group_IT_number 62
_cell_length_a 5.509
_cell_length_b 3.754
_cell_length_c 9.992
_cell_angle_alpha 90.00
_cell_angle_beta 90.00
_cell_angle_gamma 90.00
loop_
_space_group_symop_operation_xyz
'x,y,z'
'-x,-y,-z'
'-x+1/2,-y,z+1/2'
'x+1/2,y,-z+1/2'
'x+1/2,-y+1/2,-z+1/2'
'-x+1/2,y+1/2,z+1/2'
'-x,y+1/2,-z'
'x,-y+1/2,z'
loop_
_atom_site_label
_atom_site_type_symbol
_atom_site_fract_x
_atom_site_fract_y
_atom_site_fract_z
Ti1 Ti 0.002 0.250 0.250
Ti2 Ti 0.248 0.250 0.561
Ge1 Ge 0.248 0.250 0.869
H1 H 0.248 0.750 0.620
# Distance to the lowest polymorph of the same formula   0.000 eV/atom

=====

# Ti4GeH2, optimized geometry, DFT GGA-PBE
data_Ti4GeH2
_chemical_formula_sum 'Ti8 Ge2 H4'
_space_group_name_H-M_alt 'I 4/m m m'
_space_group_IT_number 139
_space_group_name_Hall '-I 4 2'
_cell_length_a 4.639
_cell_length_b 4.639
_cell_length_c 9.811
_cell_angle_alpha 90.00
_cell_angle_beta 90.00
_cell_angle_gamma 90.00
loop_
_atom_site_label
_atom_site_type_symbol
_atom_site_fract_x
_atom_site_fract_y
_atom_site_fract_z
Ti1 Ti 0.000 0.000 0.246
Ti2 Ti 0.000 0.500 0.000
Ge1 Ge 0.000 0.000 0.500
H1 H 0.000 0.000 0.064
# Distance to the lowest polymorph of the same formula   0.671 eV/atom

=====

no.,total energy (eV for the cell shown)
1,-50.63
2,-27.61
3,-12.94
4,-14.31
5,-10.05
6,-35.28
7,-119.63
8,-47.61
9,-21.46
10,-132.44
11,-21.31
12,-296.26
13,-13.91
14,-69.41
15,-40.58
16,-16.86
17,-65.17
18,-70.35
19,-133.18
20,-74.02
21,-267.20
22,-101.89
23,-103.88
24,-81.53